1.
Te2IrPbBr: relaxed, GGA-PBE.

It has space group P4/mmm (No. 123), with a = 5.945 Å, b = 5.945 Å, c = 5.205 Å, α = 90.00°, β = 90.00° and γ = 90.00°. The asymmetric unit holds Te at (0.000, 0.500, 0.000), Ir at (0.000, 0.000, 0.500), Pb at (0.000, 0.000, 0.000) and Br at (0.500, 0.500, 0.500).

The value obtained for the total magnetic moment is 3.8 Bohr magnetons per cell. The value obtained for the density of states at the Fermi level is 4.05 states/eV/cell. The calculation puts the formation energy from raw total energies at 1237.7 meV/atom.


2.
TeIr2PbBr: relaxed, GGA-PBE.

It has space group P4/mmm (No. 123), with a = 4.660 Å, b = 4.660 Å, c = 6.018 Å, α = 90.00°, β = 90.00° and γ = 90.00°. The asymmetric unit holds Te at (0.000, 0.000, 0.000), Ir at (0.000, 0.500, 0.500), Pb at (0.500, 0.500, 0.000) and Br at (0.000, 0.000, 0.500).

The value obtained for the total magnetic moment is 0.0 Bohr magnetons per cell. The value obtained for the density of states at the Fermi level is 5.82 states/eV/cell. The calculation puts the formation energy from raw total energies at 1377.2 meV/atom.


3.
Tl2IrPbBr: relaxed, GGA-PBE.

It has space group P4/mmm (No. 123), with a = 5.360 Å, b = 5.360 Å, c = 5.259 Å, α = 90.00°, β = 90.00° and γ = 90.00°. The asymmetric unit holds Tl at (0.000, 0.500, 0.000), Ir at (0.000, 0.000, 0.000), Pb at (0.000, 0.000, 0.500) and Br at (0.500, 0.500, 0.500).

The value obtained for the total magnetic moment is 0.0 Bohr magnetons per cell. The value obtained for the density of states at the Fermi level is 0.89 states/eV/cell. The calculation puts the formation energy from raw total energies at -232.0 meV/atom.


4.
IrPdBr3: relaxed, GGA-PBE.

It has space group Pm-3m (No. 221), with a = 5.077 Å, b = 5.077 Å, c = 5.077 Å, α = 90.00°, β = 90.00° and γ = 90.00°. The asymmetric unit holds Ir at (0.000, 0.000, 0.000), Pd at (0.500, 0.500, 0.500) and Br at (0.000, 0.000, 0.500).

The value obtained for the total magnetic moment is 1.3 Bohr magnetons per cell. The value obtained for the density of states at the Fermi level is 8.40 states/eV/cell. The calculation puts the formation energy from raw total energies at 614.0 meV/atom. For the excess energy over the best structure of this formula in the dataset, the calculation gives 0 meV per atom.


5.
Ir2PdBr: relaxed, GGA-PBE.

It has space group Fm-3m (No. 225), with a = 6.368 Å, b = 6.368 Å, c = 6.368 Å, α = 90.00°, β = 90.00° and γ = 90.00°. The asymmetric unit holds Ir at (0.250, 0.250, 0.250), Pd at (0.000, 0.000, 0.000) and Br at (0.000, 0.000, 0.500).

The value obtained for the total magnetic moment is 4.7 Bohr magnetons per cell. The value obtained for the density of states at the Fermi level is 20.57 states/eV/cell. The calculation puts the formation energy from raw total energies at 1070.8 meV/atom. For the excess energy over the best structure of this formula in the dataset, the calculation gives 169 meV per atom.


6.
Ir2Pd2Br: relaxed, GGA-PBE.

It has space group I4/mmm (No. 139), with a = 3.862 Å, b = 3.862 Å, c = 12.141 Å, α = 90.00°, β = 90.00° and γ = 90.00°. The asymmetric unit holds Ir at (0.000, 0.000, 0.099), Pd at (0.000, 0.500, 0.250) and Br at (0.000, 0.000, 0.500).

The value obtained for the total magnetic moment is 0.0 Bohr magnetons per cell. The value obtained for the density of states at the Fermi level is 19.90 states/eV/cell. The calculation puts the formation energy from raw total energies at 851.5 meV/atom. For the excess energy over the best structure of this formula in the dataset, the calculation gives 216 meV per atom.


7.
IrPdBr6: relaxed, GGA-PBE.

It has space group C2/m (No. 12), with a = 7.017 Å, b = 11.393 Å, c = 7.046 Å, α = 90.00°, β = 117.27° and γ = 90.00°. The asymmetric unit holds Ir at (0.000, 0.000, 0.000), Pd at (0.000, 0.500, 0.500), Br at (0.202, 0.000, 0.792) and Br at (0.242, 0.352, 0.747).

The value obtained for the total magnetic moment is 1.4 Bohr magnetons per cell. The value obtained for the density of states at the Fermi level is 12.84 states/eV/cell. The calculation puts the formation energy from raw total energies at -204.2 meV/atom.


8.
Ir2PdBr: relaxed, GGA-PBE.

It has space group I-42d (No. 122), with a = 3.770 Å, b = 3.770 Å, c = 19.558 Å, α = 90.00°, β = 90.00° and γ = 90.00°. The asymmetric unit holds Ir at (0.232, 0.250, 0.125), Pd at (0.000, 0.000, 0.000) and Br at (0.000, 0.000, 0.500).

The value obtained for the total magnetic moment is 0.0 Bohr magnetons per cell. The value obtained for the density of states at the Fermi level is 27.18 states/eV/cell. The calculation puts the formation energy from raw total energies at 901.5 meV/atom. For the excess energy over the best structure of this formula in the dataset, the calculation gives 0 meV per atom.